Record 1
Mn2CdSb | PBE | optimized geometry

Computed properties:
- ρ (g/cm³) = 7.81
- volume (Å³ per cell) = 73.1
- DOS(E_F) (states/eV per cell) = 3.7
- symmetry = Pmm2
- final energy (eV per atom) = -5.541
- energy relative to the lowest polymorph listed for this composition (meV per atom) = 51
- formation energy without anion corrections (eV/atom) = 0.304

Cell: 3.149 4.728 4.912 Å, 90.00 90.00 90.00°
Fractional positions:
Mn1 0.000 0.000 0.000
Mn2 0.000 0.500 0.350
Cd1 0.500 0.000 0.474
Sb1 0.500 0.500 0.877



Record 2
DyLu2Te | PBE | optimized geometry

Computed properties:
- ρ (g/cm³) = 8.22
- volume (Å³ per cell) = 129.4
- DOS(E_F) (states/eV per cell) = 5.7
- symmetry = R-3m
- final energy (eV per atom) = -4.328
- energy relative to the lowest polymorph listed for this composition (meV per atom) = 376
- formation energy without anion corrections (eV/atom) = -0.132

Cell: 11.093 11.093 11.093 Å, 19.23 19.23 19.23°
Fractional positions:
Dy1 0.000 0.000 0.000
Lu1 0.103 0.103 0.103
Lu2 0.897 0.897 0.897
Te1 0.500 0.500 0.500



Record 3
Nd2MgZn3Au4 | PBE | optimized geometry

Computed properties:
- ρ (g/cm³) = 10.22
- volume (Å³ per cell) = 210.7
- DOS(E_F) (states/eV per cell) = 6.6
- symmetry = P-4m2
- final energy (eV per atom) = -3.347
- formation energy (eV per atom) = -0.540

Cell: 4.228 4.228 11.789 Å, 90.00 90.00 90.00°
Fractional positions:
Nd1 0.000 0.500 0.236
Nd2 0.500 0.000 0.764
Mg1 0.000 0.000 0.500
Zn1 0.000 0.500 0.866
Zn2 0.500 0.000 0.134
Zn3 0.500 0.500 0.500
Au1 0.000 0.000 0.000
Au2 0.000 0.500 0.648
Au3 0.500 0.000 0.352
Au4 0.500 0.500 0.000



Record 4
Tb2Tm2Mg15 | PBE | optimized geometry

Computed properties:
- ρ (g/cm³) = 3.53
- volume (Å³ per cell) = 480.4
- DOS(E_F) (states/eV per cell) = 13.4
- symmetry = R-3m
- final energy (eV per atom) = -2.191
- formation energy (eV per atom) = 0.026

Cell: 7.891 7.891 7.891 Å, 82.72 82.72 82.72°
Fractional positions:
Tb1 0.172 0.172 0.172
Tb2 0.828 0.828 0.828
Tm1 0.399 0.399 0.399
Tm2 0.601 0.601 0.601
Mg1 0.000 0.500 0.500
Mg2 0.142 0.142 0.656
Mg3 0.142 0.656 0.142
Mg4 0.202 0.500 0.798
Mg5 0.202 0.798 0.500
Mg6 0.344 0.858 0.858
Mg7 0.500 0.000 0.500
Mg8 0.500 0.202 0.798
Mg9 0.500 0.500 0.000
Mg10 0.500 0.798 0.202
Mg11 0.656 0.142 0.142
Mg12 0.798 0.202 0.500
Mg13 0.798 0.500 0.202
Mg14 0.858 0.344 0.858
Mg15 0.858 0.858 0.344



Record 5
Ba2SbRu | PBE | optimized geometry

Computed properties:
- ρ (g/cm³) = 6.09
- volume (Å³ per cell) = 135.6
- DOS(E_F) (states/eV per cell) = 3.6
- symmetry = Imm2
- final energy (eV per atom) = -4.470
- formation energy without anion corrections (eV/atom) = -0.159

Cell: 6.685 6.685 6.685 Å, 141.00 133.10 62.59°
Fractional positions:
Ba1 0.000 0.000 0.000
Ba2 0.716 0.216 0.500
Sb1 0.438 0.438 0.000
Ru1 0.324 0.824 0.500



Record 6
Sr2CuRh | PBE | optimized geometry

Computed properties:
- ρ (g/cm³) = 5.15
- volume (Å³ per cell) = 110.2
- DOS(E_F) (states/eV per cell) = 2.1
- symmetry = P4mm
- final energy (eV per atom) = -3.677
- formation energy (eV per atom) = 0.026

Cell: 3.587 3.587 8.567 Å, 90.00 90.00 90.00°
Fractional positions:
Sr1 0.000 0.000 0.000
Sr2 0.500 0.500 0.433
Cu1 0.000 0.000 0.666
Rh1 0.500 0.500 0.769



Record 7
La3AlCoS7 | PBE | optimized geometry

Computed properties:
- ρ (g/cm³) = 4.46
- volume (Å³ per cell) = 541.3
- DOS(E_F) (states/eV per cell) = 4.5
- symmetry = P6_3
- final energy (eV per atom) = -6.195
- formation energy without anion corrections (eV/atom) = -1.651

Cell: 10.042 10.042 6.198 Å, 90.00 90.00 120.00°
Fractional positions:
La1 0.149 0.373 0.000
La2 0.224 0.851 0.000
La3 0.373 0.224 0.500
La4 0.627 0.776 0.000
La5 0.776 0.149 0.500
La6 0.851 0.627 0.500
Al1 0.333 0.667 0.423
Al2 0.667 0.333 0.923
Co1 0.000 0.000 0.334
Co2 0.000 0.000 0.834
S1 0.086 0.212 0.585
S2 0.096 0.575 0.281
S3 0.126 0.914 0.585
S4 0.212 0.126 0.085
S5 0.333 0.667 0.784
S6 0.425 0.521 0.281
S7 0.479 0.904 0.281
S8 0.521 0.096 0.781
S9 0.575 0.479 0.781
S10 0.667 0.333 0.284
S11 0.788 0.874 0.585
S12 0.874 0.086 0.085
S13 0.904 0.425 0.781
S14 0.914 0.788 0.085



Record 8
ZrTcRh2 | PBE | optimized geometry

Computed properties:
- ρ (g/cm³) = 10.21
- volume (Å³ per cell) = 64.3
- DOS(E_F) (states/eV per cell) = 4.0
- symmetry = Cm
- final energy (eV per atom) = -8.704
- energy relative to the lowest polymorph listed for this composition (meV per atom) = 105
- formation energy (eV per atom) = -0.300

Cell: 4.833 4.833 4.916 Å, 100.87 100.87 34.81°
Fractional positions:
Zr1 0.000 0.000 0.000
Tc1 0.756 0.756 0.317
Rh1 0.245 0.245 0.772
Rh2 0.497 0.497 0.489



Record 9
Tm7Zn2In2 | PBE | optimized geometry

Computed properties:
- ρ (g/cm³) = 8.25
- volume (Å³ per cell) = 310.7
- DOS(E_F) (states/eV per cell) = 12.0
- symmetry = Cmmm
- final energy (eV per atom) = -3.614
- formation energy (eV per atom) = -0.039

Cell: 6.704 6.704 7.346 Å, 90.00 90.00 109.75°
Fractional positions:
Tm1 0.000 0.000 0.000
Tm2 0.000 0.500 0.273
Tm3 0.000 0.500 0.727
Tm4 0.500 0.000 0.273
Tm5 0.500 0.000 0.727
Tm6 0.500 0.500 0.240
Tm7 0.500 0.500 0.760
Zn1 0.288 0.712 0.000
Zn2 0.712 0.288 0.000
In1 0.182 0.182 0.500
In2 0.818 0.818 0.500



Record 10
Nd2DyEr3As6 | PBE | optimized geometry

Computed properties:
- ρ (g/cm³) = 7.66
- volume (Å³ per cell) = 303.9
- DOS(E_F) (states/eV per cell) = 1.8
- symmetry = C2/m
- final energy (eV per atom) = -6.154
- formation energy (eV per atom) = -1.510

Cell: 9.284 9.284 8.303 Å, 102.87 102.87 25.87°
Fractional positions:
Nd1 0.166 0.166 0.332
Nd2 0.834 0.834 0.668
Dy1 0.500 0.500 0.000
Er1 0.167 0.167 0.834
Er2 0.500 0.500 0.500
Er3 0.833 0.833 0.166
As1 0.003 0.003 0.750
As2 0.333 0.333 0.925
As3 0.336 0.336 0.410
As4 0.664 0.664 0.590
As5 0.667 0.667 0.075
As6 0.997 0.997 0.250



Record 11
CsAlSbH | PBE | optimized geometry

Computed properties:
- ρ (g/cm³) = 3.92
- volume (Å³ per cell) = 119.7
- DOS(E_F) (states/eV per cell) = 0.0
- symmetry = R3m
- final energy (eV per atom) = -3.369

Cell: 7.392 7.392 7.392 Å, 35.17 35.17 35.17°
Fractional positions:
Cs1 0.000 0.000 0.000
Al1 0.483 0.483 0.483
Sb1 0.193 0.193 0.193
H1 0.403 0.403 0.403



Record 12
Ni2PbW | PBE | optimized geometry

Computed properties:
- ρ (g/cm³) = 12.86
- volume (Å³ per cell) = 65.7
- DOS(E_F) (states/eV per cell) = 2.5
- symmetry = C2/m
- final energy (eV per atom) = -6.584
- formation energy (eV per atom) = 0.472

Cell: 4.414 4.414 5.353 Å, 96.61 96.61 39.37°
Fractional positions:
Ni1 0.236 0.236 0.186
Ni2 0.764 0.764 0.814
Pb1 0.000 0.000 0.500
W1 0.500 0.500 0.000



Record 13
Sr2Cd2Ag15 | PBE | optimized geometry

Computed properties:
- ρ (g/cm³) = 8.39
- volume (Å³ per cell) = 399.3
- DOS(E_F) (states/eV per cell) = 6.5
- symmetry = R-3m
- final energy (eV per atom) = -2.646
- formation energy (eV per atom) = -0.122

Cell: 7.418 7.418 7.418 Å, 82.85 82.85 82.85°
Fractional positions:
Sr1 0.154 0.154 0.154
Sr2 0.846 0.846 0.846
Cd1 0.399 0.399 0.399
Cd2 0.601 0.601 0.601
Ag1 0.000 0.500 0.500
Ag2 0.153 0.153 0.656
Ag3 0.153 0.656 0.153
Ag4 0.197 0.500 0.803
Ag5 0.197 0.803 0.500
Ag6 0.344 0.847 0.847
Ag7 0.500 0.000 0.500
Ag8 0.500 0.197 0.803
Ag9 0.500 0.500 0.000
Ag10 0.500 0.803 0.197
Ag11 0.656 0.153 0.153
Ag12 0.803 0.197 0.500
Ag13 0.803 0.500 0.197
Ag14 0.847 0.344 0.847
Ag15 0.847 0.847 0.344



Record 14
LaEr2Tc | PBE | optimized geometry

Computed properties:
- ρ (g/cm³) = 8.65
- volume (Å³ per cell) = 109.7
- DOS(E_F) (states/eV per cell) = 7.9
- symmetry = P4/mmm
- final energy (eV per atom) = -6.115
- energy relative to the lowest polymorph listed for this composition (meV per atom) = 101
- formation energy (eV per atom) = -0.011

Cell: 3.440 3.440 9.266 Å, 90.00 90.00 90.00°
Fractional positions:
La1 0.000 0.000 0.000
Er1 0.500 0.500 0.324
Er2 0.500 0.500 0.676
Tc1 0.000 0.000 0.500



Record 15
K2BaNaNi | PBE | optimized geometry

Computed properties:
- ρ (g/cm³) = 1.85
- volume (Å³ per cell) = 266.3
- DOS(E_F) (states/eV per cell) = 7.0
- symmetry = P4/mmm
- final energy (eV per atom) = -1.405
- formation energy (eV per atom) = 0.838

Cell: 6.105 6.105 7.144 Å, 90.00 90.00 90.00°
Fractional positions:
K1 0.000 0.500 0.000
K2 0.500 0.000 0.000
Ba1 0.000 0.000 0.500
Na1 0.000 0.000 0.000
Ni1 0.500 0.500 0.500



Record 16
YAlNi2 | PBE | optimized geometry

Computed properties:
- ρ (g/cm³) = 6.09
- volume (Å³ per cell) = 63.6
- DOS(E_F) (states/eV per cell) = 2.6
- symmetry = P4/mmm
- final energy (eV per atom) = -5.780
- formation energy (eV per atom) = -0.338

Cell: 4.422 4.422 3.255 Å, 90.00 90.00 90.00°
Fractional positions:
Y1 0.000 0.000 0.000
Al1 0.500 0.500 0.000
Ni1 0.000 0.500 0.500
Ni2 0.500 0.000 0.500



Record 17
Tb4Er15In | PBE | optimized geometry

Computed properties:
- ρ (g/cm³) = 8.95
- volume (Å³ per cell) = 604.9
- DOS(E_F) (states/eV per cell) = 23.2
- symmetry = P4/mmm
- final energy (eV per atom) = -4.516
- formation energy (eV per atom) = -0.031

Cell: 4.928 4.928 24.908 Å, 90.00 90.00 90.00°
Fractional positions:
Tb1 0.000 0.000 0.101
Tb2 0.000 0.000 0.302
Tb3 0.000 0.000 0.698
Tb4 0.000 0.000 0.899
Er1 0.000 0.500 0.000
Er2 0.000 0.500 0.202
Er3 0.000 0.500 0.403
Er4 0.000 0.500 0.597
Er5 0.000 0.500 0.798
Er6 0.500 0.000 0.000
Er7 0.500 0.000 0.202
Er8 0.500 0.000 0.403
Er9 0.500 0.000 0.597
Er10 0.500 0.000 0.798
Er11 0.500 0.500 0.101
Er12 0.500 0.500 0.305
Er13 0.500 0.500 0.500
Er14 0.500 0.500 0.695
Er15 0.500 0.500 0.899
In1 0.000 0.000 0.500



Record 18
Li2Ac3AlPd9 | PBE | optimized geometry

Computed properties:
- ρ (g/cm³) = 9.21
- volume (Å³ per cell) = 303.0
- DOS(E_F) (states/eV per cell) = 3.4
- symmetry = P-3m1
- final energy (eV per atom) = -5.049
- formation energy (eV per atom) = -0.607

Cell: 6.129 6.129 9.314 Å, 90.00 90.00 120.00°
Fractional positions:
Li1 0.333 0.667 0.158
Li2 0.667 0.333 0.842
Ac1 0.000 0.000 0.000
Ac2 0.333 0.667 0.674
Ac3 0.667 0.333 0.326
Al1 0.000 0.000 0.500
Pd1 0.000 0.500 0.000
Pd2 0.165 0.330 0.318
Pd3 0.165 0.835 0.318
Pd4 0.330 0.165 0.682
Pd5 0.500 0.000 0.000
Pd6 0.500 0.500 0.000
Pd7 0.670 0.835 0.318
Pd8 0.835 0.165 0.682
Pd9 0.835 0.670 0.682



Record 19
Sr2Mo | PBE | optimized geometry

Computed properties:
- ρ (g/cm³) = 4.47
- volume (Å³ per cell) = 201.7
- DOS(E_F) (states/eV per cell) = 9.6
- symmetry = I4/mcm
- final energy (eV per atom) = -3.965
- energy relative to the lowest polymorph listed for this composition (meV per atom) = 280
- formation energy (eV per atom) = 0.766

Cell: 6.770 6.770 6.770 Å, 98.28 98.28 135.38°
Fractional positions:
Sr1 0.161 0.661 0.823
Sr2 0.339 0.161 0.500
Sr3 0.661 0.839 0.500
Sr4 0.839 0.339 0.177
Mo1 0.250 0.250 0.000
Mo2 0.750 0.750 0.000



Record 20
AcCd4Sn | PBE | optimized geometry

Computed properties:
- ρ (g/cm³) = 8.11
- volume (Å³ per cell) = 325.5
- DOS(E_F) (states/eV per cell) = 4.2
- symmetry = Cmcm
- final energy (eV per atom) = -2.195
- energy relative to the lowest polymorph listed for this composition (meV per atom) = 0
- formation energy (eV per atom) = -0.233

Cell: 9.284 9.284 7.526 Å, 90.00 90.00 149.88°
Fractional positions:
Ac1 0.127 0.873 0.750
Ac2 0.873 0.127 0.250
Cd1 0.057 0.943 0.250
Cd2 0.336 0.664 0.553
Cd3 0.336 0.664 0.947
Cd4 0.500 0.500 0.000
Cd5 0.500 0.500 0.500
Cd6 0.664 0.336 0.053
Cd7 0.664 0.336 0.447
Cd8 0.943 0.057 0.750
Sn1 0.225 0.775 0.250
Sn2 0.775 0.225 0.750